Here is a relaxed Pr8AsPb5 crystal from the Alexandria database. Energies are from PBE.

final energy: -70.98 eV per cell
formation enthalpy at 0 K: -0.68 eV/atom

The structure in POSCAR format:
```
Pr8AsPb5
1.0
-4.829 4.829 4.863
4.829 -4.829 4.863
4.829 4.829 -4.863
Pr As Pb
8 1 5
Direct
0.016 0.641 0.763
0.233 0.481 0.109
0.359 0.121 0.374
0.372 0.124 0.891
0.519 0.628 0.752
0.747 0.984 0.626
0.876 0.767 0.248
0.879 0.253 0.237
0.000 0.000 0.000
0.125 0.255 0.626
0.250 0.750 0.500
0.502 0.875 0.130
0.628 0.498 0.374
0.745 0.372 0.870
```